No. 1
PBE AuN3O, relaxed; formation energy (no corrections) = 3.02 eV/atom; space-group type = No. 221
1.0
4.096 0.000 0.000
0.000 4.096 0.000
0.000 0.000 4.096
N O Au
3 1 1
Cartesian
0.000 0.000 2.048
2.048 0.000 0.000
0.000 2.048 0.000
2.048 2.048 2.048
0.000 0.000 0.000

***

No. 2
PBE BaTlSnSe, relaxed; E above lowest polymorph = 0.33 eV/f.u.; formation energy (no corrections) = -0.67 eV/atom; space-group type = No. 38
1.0
5.083 0.000 0.000
0.000 4.036 0.000
0.000 0.000 14.691
Se Ba Sn Tl
2 2 2 2
Cartesian
0.000 2.018 11.777
0.000 0.000 4.431
2.541 0.000 12.380
2.541 2.018 5.034
2.541 2.018 0.791
2.541 0.000 8.136
0.000 0.000 9.524
0.000 2.018 2.178

***

No. 3
PBE ScMoOs2, relaxed; space-group type = No. 122; ΔE_f = 497 meV per atom
1.0
7.228 0.000 0.000
0.000 7.228 0.000
3.614 3.614 2.720
Os Mo Sc
4 2 2
Cartesian
9.035 9.291 2.040
5.421 5.165 2.040
5.677 1.807 0.680
1.551 5.421 0.680
0.000 0.000 0.000
7.228 3.614 1.360
3.614 3.614 0.000
3.614 7.228 1.360

***

No. 4
PBE LaIBrO2, relaxed; E above lowest polymorph = 0.00 eV/f.u.; formation energy (no corrections) = -1.19 eV/atom; space-group type = No. 123
1.0
-4.249 -0.653 -1.060
-1.006 -0.419 4.291
-1.243 7.387 0.430
La O I Br
1 2 1 1
Cartesian
0.000 0.000 0.000
-0.503 -0.210 2.146
-2.124 -0.327 -0.530
-0.622 3.694 0.215
-3.249 3.157 1.831

***

No. 5
PBE Ta2CrB2, relaxed; space-group type = No. 127; ΔE_f = -708 meV per atom
1.0
-4.499 -3.872 -0.188
3.227 -3.900 3.104
-1.173 1.229 2.764
B Cr Ta
4 2 4
Cartesian
1.119 -4.972 2.686
-2.026 -5.825 1.730
-2.391 -2.800 0.230
0.755 -1.947 1.186
-0.636 -3.886 1.458
0.000 0.000 0.000
-1.004 -5.217 3.797
-3.242 -3.804 2.220
-1.440 -1.327 1.883
0.798 -2.739 3.461

***

No. 6
PBE Nd2TmBi2O2, relaxed; formation energy (no corrections) = -1.90 eV/atom; space-group type = No. 139
1.0
-0.720 -3.747 -2.106
4.298 -0.667 -0.282
-1.945 -1.910 8.574
O Nd Bi Tm
2 2 2 1
Cartesian
-0.360 -1.874 -1.053
2.149 -0.334 -0.141
-0.122 -3.218 5.769
1.755 -3.106 0.418
1.692 -4.765 3.391
-0.059 -1.559 2.796
0.000 0.000 0.000

***

The VASP energy results, record by record, are as follows: -3.618 -3.616 -9.409 -4.808 -10.045 -6.423 eV/atom.